Entry 1:
Crystalline NaVPd6 at its relaxed geometry, computed with PBE.

Summary:
Energy of formation from the pure elements, eV per atom: -0.1543
Volume, Å³ per atom: 15.5
Magnetic moment, μB/f.u.: 0.00

Cell lengths 3.9579, 3.9579, 7.8994 Å; angles 90.00, 90.00, 90.00 degrees
Closest atoms and distances in Å follow each position.
Space group P4/mmm (No. 123)
Symmetry-distinct sites (fractional):
Na 0.0000 0.0000 0.0000  12 Pd 2.80-2.89
V 0.0000 0.0000 0.5000  12 Pd 2.70-2.80
Pd 0.0000 0.5000 0.2668  8 Pd 2.70-2.89, 2 V 2.70, 2 Na 2.89
Pd 0.5000 0.5000 0.0000  4 Na 2.80, 8 Pd 2.89
Pd 0.5000 0.5000 0.5000  8 Pd 2.70, 4 V 2.80



Entry 2:
Crystalline NaZr2VPd at its relaxed geometry, computed with PBE.

Summary:
Energy of formation from the pure elements, eV per atom: 1.4123
Volume, Å³ per atom: 22.2
Magnetic moment, μB/f.u.: 2.48

Cell lengths 4.9883, 4.9883, 4.4627 Å; angles 90.00, 90.00, 90.00 degrees
Closest atoms and distances in Å follow each position.
Space group P4/mmm (No. 123)
Symmetry-distinct sites (fractional):
Na 0.0000 0.0000 0.0000  2 Pd 2.23, 4 Zr 2.49
Zr 0.0000 0.5000 0.0000  2 Na 2.49
V 0.5000 0.5000 0.5000  8 Zr 3.35, 4 Pd 3.53
Pd 0.0000 0.0000 0.5000  2 Na 2.23



Entry 3:
Crystalline NaPd3W at its relaxed geometry, computed with PBE.

Summary:
Energy of formation from the pure elements, eV per atom: 0.7882
Volume, Å³ per atom: 23.3
Magnetic moment, μB/f.u.: 0.00
ΔE to the lowest computed polymorph, eV per atom: 0.000

Cell lengths 4.8852, 4.8852, 4.8852 Å; angles 90.00, 90.00, 90.00 degrees
Closest atoms and distances in Å follow each position.
Space group Pm-3m (No. 221)
Symmetry-distinct sites (fractional):
Na 0.0000 0.0000 0.0000  12 Pd 3.45
Pd 0.0000 0.5000 0.5000  2 W 2.44
W 0.5000 0.5000 0.5000  6 Pd 2.44



Entry 4:
Crystalline Na3PdW at its relaxed geometry, computed with PBE.

Summary:
Energy of formation from the pure elements, eV per atom: 1.7611
Volume, Å³ per atom: 38.1
Magnetic moment, μB/f.u.: 5.09
ΔE to the lowest computed polymorph, eV per atom: 0.408

Cell lengths 5.7538, 5.7538, 5.7538 Å; angles 90.00, 90.00, 90.00 degrees
Closest atoms and distances in Å follow each position.
Space group Pm-3m (No. 221)
Symmetry-distinct sites (fractional):
Na 0.0000 0.0000 0.5000  2 W 2.88
Pd 0.5000 0.5000 0.5000  12 Na 4.07
W 0.0000 0.0000 0.0000  6 Na 2.88



Entry 5:
Crystalline NaPd2W at its relaxed geometry, computed with PBE.

Summary:
Energy of formation from the pure elements, eV per atom: 0.7957
Volume, Å³ per atom: 19.0
Magnetic moment, μB/f.u.: 1.31
ΔE to the lowest computed polymorph, eV per atom: 0.332

Cell lengths 7.2312, 7.2312, 5.8126 Å; angles 90.00, 90.00, 90.00 degrees
Closest atoms and distances in Å follow each position.
Space group I-42d (No. 122)
Symmetry-distinct sites (fractional):
Na 0.0000 0.0000 0.0000  4 Pd 2.82, 2 W 2.91
Pd 0.2174 0.2500 0.6250  2 W 2.50
W 0.0000 0.0000 0.5000  4 Pd 2.50



Entry 6:
Crystalline NaPd2W at its relaxed geometry, computed with PBE.

Summary:
Energy of formation from the pure elements, eV per atom: 0.4636
Volume, Å³ per atom: 16.2
Magnetic moment, μB/f.u.: 0.00
ΔE to the lowest computed polymorph, eV per atom: 0.000

Cell lengths 6.3811, 6.3811, 6.3811 Å; angles 90.00, 90.00, 90.00 degrees
Closest atoms and distances in Å follow each position.
Space group Fm-3m (No. 225)
Symmetry-distinct sites (fractional):
Na 0.0000 0.0000 0.0000  8 Pd 2.76
Pd 0.2500 0.2500 0.2500  4 W 2.76, 4 Na 2.76
W 0.0000 0.0000 0.5000  8 Pd 2.76



Entry 7:
Crystalline Na2PdW at its relaxed geometry, computed with PBE.

Summary:
Energy of formation from the pure elements, eV per atom: 1.2863
Volume, Å³ per atom: 22.9
Magnetic moment, μB/f.u.: 3.31
ΔE to the lowest computed polymorph, eV per atom: 0.000

Cell lengths 8.4355, 8.4355, 5.1558 Å; angles 90.00, 90.00, 90.00 degrees
Closest atoms and distances in Å follow each position.
Space group I-42d (No. 122)
Symmetry-distinct sites (fractional):
Na 0.2074 0.7500 0.1250  2 Na 2.68, 2 Pd 2.82
Pd 0.0000 0.0000 0.0000  2 W 2.58, 4 Na 2.82
W 0.0000 0.0000 0.5000  2 Pd 2.58



Entry 8:
Crystalline NaPdW2 at its relaxed geometry, computed with PBE.

Summary:
Energy of formation from the pure elements, eV per atom: 1.2844
Volume, Å³ per atom: 16.2
Magnetic moment, μB/f.u.: 0.00
ΔE to the lowest computed polymorph, eV per atom: 0.000

Cell lengths 6.3798, 6.3798, 6.3798 Å; angles 90.00, 90.00, 90.00 degrees
Closest atoms and distances in Å follow each position.
Space group Fm-3m (No. 225)
Symmetry-distinct sites (fractional):
Na 0.0000 0.0000 0.0000  8 W 2.76
Pd 0.0000 0.0000 0.5000  8 W 2.76
W 0.2500 0.2500 0.2500  4 Na 2.76, 4 Pd 2.76



Looking at VASP energy for the records above, in order, we have -5.35 -5.13 -5.18 -2.66 -5.37 -5.70 -3.91 -6.82 eV per atom.